# 1
# SmY2Ag4

A relaxed SmY2Ag4 crystal (GGA-PBE, Alexandria).

abc: 6.241 6.241 6.241
angles: 110.52 108.95 108.95
Fractional coordinates of all 7 atoms:
Sm 0.000 0.000 0.000
Y 0.500 0.500 0.000
Y 0.500 0.000 0.500
Ag 0.500 0.000 0.000
Ag 0.500 0.500 0.500
Ag 0.000 0.000 0.500
Ag 0.000 0.500 0.000

Output
SG = No. 139

***

# 2
# Sm3Y2Ag2

A relaxed Sm3Y2Ag2 crystal (GGA-PBE, Alexandria).

abc: 3.778 6.755 9.284
angles: 114.24 90.00 106.24
Fractional coordinates of all 7 atoms:
Sm 0.500 0.000 0.000
Sm 0.611 0.222 0.446
Sm 0.389 0.778 0.554
Y 0.853 0.706 0.188
Y 0.147 0.294 0.812
Ag 0.826 0.652 0.777
Ag 0.174 0.348 0.223

Output
SG = No. 12
ΔE to the lowest computed polymorph = 0 kJ/mol of formula units

***

# 3
# SmY5Ag

A relaxed SmY5Ag crystal (GGA-PBE, Alexandria).

abc: 6.715 6.715 12.589
angles: 68.49 68.49 57.42
Fractional coordinates of all 14 atoms:
Sm 0.769 0.231 0.250
Sm 0.231 0.769 0.750
Y 0.782 0.749 0.184
Y 0.323 0.352 0.529
Y 0.749 0.782 0.684
Y 0.248 0.752 0.250
Y 0.648 0.677 0.971
Y 0.352 0.323 0.029
Y 0.752 0.248 0.750
Y 0.251 0.218 0.316
Y 0.677 0.648 0.471
Y 0.218 0.251 0.816
Ag 0.000 0.000 0.000
Ag 0.000 0.000 0.500

Output
SG = No. 15

***

# 4
# SmYAg6

A relaxed SmYAg6 crystal (GGA-PBE, Alexandria).

abc: 4.583 5.179 8.287
angles: 81.77 73.95 63.74
Fractional coordinates of all 8 atoms:
Sm 0.000 0.500 0.500
Y 0.000 0.000 0.000
Ag 0.250 0.872 0.629
Ag 0.502 0.244 0.751
Ag 0.252 0.374 0.121
Ag 0.498 0.756 0.249
Ag 0.750 0.128 0.371
Ag 0.748 0.626 0.879

Output
SG = No. 12

***

# 5
# SmYZnAg

A relaxed SmYZnAg crystal (GGA-PBE, Alexandria).

abc: 3.640 3.640 7.296
angles: 90.00 90.00 90.00
Fractional coordinates of all 4 atoms:
Sm 0.000 0.000 0.848
Y 0.000 0.000 0.364
Zn 0.500 0.500 0.600
Ag 0.500 0.500 0.116

Output
SG = No. 99
ΔE to the lowest computed polymorph = 0 kJ/mol of formula units

***

# 6
# SmYZnAg

A relaxed SmYZnAg crystal (GGA-PBE, Alexandria).

abc: 5.161 5.161 5.161
angles: 60.00 60.00 60.00
Fractional coordinates of all 4 atoms:
Y 0.750 0.750 0.750
Zn 0.500 0.500 0.500
Ag 0.000 0.000 0.000
Sm 0.250 0.250 0.250

Output
SG = No. 216
ΔE to the lowest computed polymorph = 5 kJ/mol of formula units

***

# 7
# YbSmAg2

A relaxed YbSmAg2 crystal (GGA-PBE, Alexandria).

abc: 5.193 5.192 5.192
angles: 59.99 60.00 60.00
Fractional coordinates of all 4 atoms:
Yb 0.250 0.250 0.250
Ag 0.500 0.500 0.500
Ag 0.000 0.000 0.000
Sm 0.750 0.750 0.750

Output
SG = No. 225

***

# 8
# SmZn2Ag3

A relaxed SmZn2Ag3 crystal (GGA-PBE, Alexandria).

abc: 5.378 6.679 6.679
angles: 85.49 90.00 90.00
Fractional coordinates of all 12 atoms:
Sm 0.750 0.670 0.330
Sm 0.250 0.330 0.670
Zn 0.500 0.239 0.239
Zn 0.000 0.239 0.239
Zn 0.000 0.761 0.761
Zn 0.500 0.761 0.761
Ag 0.250 0.555 0.095
Ag 0.250 0.905 0.445
Ag 0.750 0.445 0.905
Ag 0.250 0.970 0.030
Ag 0.750 0.030 0.970
Ag 0.750 0.095 0.555

Output
SG = No. 63
ΔE to the lowest computed polymorph = 0 kJ/mol of formula units

***

# 9
# SmZn3Ag

A relaxed SmZn3Ag crystal (GGA-PBE, Alexandria).

abc: 5.060 5.060 4.801
angles: 61.60 61.60 76.82
Fractional coordinates of all 5 atoms:
Sm 0.604 0.604 0.796
Zn 0.298 0.908 0.297
Zn 0.908 0.298 0.297
Zn 0.894 0.894 0.005
Ag 0.297 0.297 0.603

Output
SG = No. 8
ΔE to the lowest computed polymorph = 0 kJ/mol of formula units

***

# 10
# SmZn2Ag

A relaxed SmZn2Ag crystal (GGA-PBE, Alexandria).

abc: 4.798 4.798 4.798
angles: 60.00 60.00 60.00
Fractional coordinates of all 4 atoms:
Zn 0.250 0.250 0.250
Zn 0.750 0.750 0.750
Ag 0.500 0.500 0.500
Sm 0.000 0.000 0.000

Output
SG = No. 225

***

# 11
# Sm2Zn3Ag6

A relaxed Sm2Zn3Ag6 crystal (GGA-PBE, Alexandria).

abc: 4.387 7.758 7.758
angles: 120.00 90.00 90.00
Fractional coordinates of all 11 atoms:
Sm 0.000 0.667 0.333
Sm 0.000 0.333 0.667
Zn 0.500 0.397 0.397
Zn 0.500 0.603 0.000
Zn 0.500 0.000 0.603
Ag 0.500 0.728 0.728
Ag 0.500 0.000 0.272
Ag 0.000 0.211 0.211
Ag 0.000 0.789 0.000
Ag 0.500 0.272 0.000
Ag 0.000 0.000 0.789

Output
SG = No. 189

***

# 12
# SmZnAg

A relaxed SmZnAg crystal (GGA-PBE, Alexandria).

abc: 3.131 3.131 8.075
angles: 101.18 101.18 90.00
Fractional coordinates of all 3 atoms:
Zn 0.794 0.794 0.588
Sm 0.430 0.430 0.860
Ag 0.626 0.626 0.251

Output
SG = No. 107

***

# 13
# Sm2Zn12Ag5

A relaxed Sm2Zn12Ag5 crystal (GGA-PBE, Alexandria).

abc: 6.979 6.979 6.979
angles: 82.90 82.90 82.90
Fractional coordinates of all 19 atoms:
Sm 0.659 0.659 0.659
Sm 0.341 0.341 0.341
Zn 0.301 0.699 0.000
Zn 0.699 0.000 0.301
Zn 0.000 0.301 0.699
Zn 0.699 0.301 0.000
Zn 0.301 0.000 0.699
Zn 0.000 0.699 0.301
Zn 0.352 0.352 0.833
Zn 0.352 0.833 0.352
Zn 0.833 0.352 0.352
Zn 0.648 0.167 0.648
Zn 0.648 0.648 0.167
Zn 0.167 0.648 0.648
Ag 0.000 0.000 0.500
Ag 0.000 0.500 0.000
Ag 0.500 0.000 0.000
Ag 0.897 0.897 0.897
Ag 0.103 0.103 0.103

Output
SG = No. 166

***

# 14
# Sm2Zn6Ag9

A relaxed Sm2Zn6Ag9 crystal (GGA-PBE, Alexandria).

abc: 5.604 5.604 13.100
angles: 90.00 90.00 120.00
Fractional coordinates of all 17 atoms:
Sm 0.000 0.000 0.666
Sm 0.000 0.000 0.334
Zn 0.333 0.667 0.000
Zn 0.667 0.333 0.000
Zn 0.333 0.667 0.666
Zn 0.667 0.333 0.666
Zn 0.667 0.333 0.334
Zn 0.333 0.667 0.334
Ag 0.500 0.000 0.833
Ag 0.000 0.500 0.833
Ag 0.500 0.500 0.833
Ag 0.500 0.000 0.167
Ag 0.000 0.500 0.167
Ag 0.500 0.500 0.167
Ag 0.500 0.000 0.500
Ag 0.000 0.500 0.500
Ag 0.500 0.500 0.500

Output
SG = No. 191

***

# 15
# Sm2Zn3Ag4

A relaxed Sm2Zn3Ag4 crystal (GGA-PBE, Alexandria).

abc: 5.321 5.379 7.614
angles: 80.05 69.55 60.36
Fractional coordinates of all 9 atoms:
Sm 0.631 0.000 0.738
Sm 0.369 0.000 0.262
Zn 0.000 0.500 0.000
Zn 0.000 0.000 0.000
Zn 0.500 0.500 0.000
Ag 0.992 0.675 0.341
Ag 0.667 0.325 0.341
Ag 0.008 0.325 0.659
Ag 0.333 0.675 0.659

Output
SG = No. 69

***

# 16
# Sm4Zn2Ag3

A relaxed Sm4Zn2Ag3 crystal (GGA-PBE, Alexandria).

abc: 5.099 5.099 9.499
angles: 89.95 89.95 59.99
Fractional coordinates of all 9 atoms:
Sm 0.667 0.667 0.114
Sm 0.000 0.000 0.663
Sm 0.000 0.000 0.337
Sm 0.333 0.333 0.886
Zn 0.333 0.333 0.218
Zn 0.667 0.667 0.782
Ag 0.333 0.333 0.511
Ag 0.000 0.000 0.000
Ag 0.667 0.667 0.489

Output
SG = No. 12

***

# 17
# SmZn4Ag2

A relaxed SmZn4Ag2 crystal (GGA-PBE, Alexandria).

abc: 5.516 5.394 5.516
angles: 118.85 103.27 61.15
Fractional coordinates of all 7 atoms:
Sm 0.000 0.000 0.000
Zn 0.622 0.688 0.000
Zn 0.378 0.312 0.000
Zn 0.000 0.312 0.622
Zn 0.000 0.688 0.378
Ag 0.497 0.752 0.503
Ag 0.503 0.248 0.497

Output
SG = No. 12

***

# 18
# SmZnAg2

A relaxed SmZnAg2 crystal (GGA-PBE, Alexandria).

abc: 3.389 3.389 7.184
angles: 90.00 90.00 90.00
Fractional coordinates of all 4 atoms:
Zn 0.500 0.500 0.000
Ag 0.000 0.000 0.796
Ag 0.000 0.000 0.204
Sm 0.500 0.500 0.500

Output
SG = No. 123

***

# 19
# SmZn2Ag3

A relaxed SmZn2Ag3 crystal (GGA-PBE, Alexandria).

abc: 4.296 8.392 7.832
angles: 117.06 90.00 104.83
Fractional coordinates of all 12 atoms:
Sm 0.856 0.712 0.938
Sm 0.144 0.288 0.062
Zn 0.482 0.964 0.833
Zn 0.518 0.036 0.167
Zn 0.794 0.588 0.275
Zn 0.206 0.412 0.725
Ag 0.313 0.626 0.548
Ag 0.956 0.911 0.620
Ag 0.603 0.205 0.701
Ag 0.397 0.795 0.299
Ag 0.044 0.089 0.380
Ag 0.687 0.374 0.452

Output
SG = No. 12
ΔE to the lowest computed polymorph = 2 kJ/mol of formula units

***

# 20
# Sm6ZnAg5

A relaxed Sm6ZnAg5 crystal (GGA-PBE, Alexandria).

abc: 5.252 7.350 8.303
angles: 90.00 108.49 90.00
Fractional coordinates of all 12 atoms:
Zn 0.000 0.000 0.000
Ag 0.667 0.500 0.335
Ag 0.337 0.000 0.671
Ag 0.000 0.500 0.000
Ag 0.663 0.000 0.329
Ag 0.333 0.500 0.665
Sm 0.835 0.751 0.668
Sm 0.835 0.249 0.668
Sm 0.500 0.249 0.000
Sm 0.500 0.751 0.000
Sm 0.165 0.751 0.332
Sm 0.165 0.249 0.332

Output
SG = No. 10

***

# 21
# SmZn4Ag8

A relaxed SmZn4Ag8 crystal (GGA-PBE, Alexandria).

abc: 5.294 7.157 7.157
angles: 82.14 68.29 68.29
Fractional coordinates of all 13 atoms:
Sm 0.000 0.000 0.000
Zn 0.000 0.000 0.500
Zn 0.500 0.000 0.500
Zn 0.000 0.500 0.000
Zn 0.500 0.500 0.000
Ag 0.000 0.347 0.653
Ag 0.000 0.653 0.347
Ag 0.347 0.653 0.653
Ag 0.653 0.347 0.347
Ag 0.500 0.784 0.216
Ag 0.500 0.216 0.784
Ag 0.284 0.216 0.216
Ag 0.716 0.784 0.784

Output
SG = No. 139

***

# 22
# SmZn6Ag6

A relaxed SmZn6Ag6 crystal (GGA-PBE, Alexandria).

abc: 5.215 7.082 7.082
angles: 82.30 68.40 68.40
Fractional coordinates of all 13 atoms:
Sm 0.000 0.000 0.000
Zn 0.000 0.500 0.000
Zn 0.500 0.500 0.000
Zn 0.000 0.000 0.500
Zn 0.500 0.000 0.500
Zn 0.500 0.773 0.227
Zn 0.500 0.227 0.773
Ag 0.349 0.651 0.651
Ag 0.651 0.349 0.349
Ag 0.000 0.346 0.654
Ag 0.000 0.654 0.346
Ag 0.301 0.199 0.199
Ag 0.699 0.801 0.801

Output
SG = No. 71

***

# 23
# SmZn5Ag7

A relaxed SmZn5Ag7 crystal (GGA-PBE, Alexandria).

abc: 5.253 7.096 7.096
angles: 82.16 68.88 68.88
Fractional coordinates of all 13 atoms:
Sm 0.998 0.003 0.003
Zn 0.503 0.996 0.499
Zn 0.001 0.996 0.500
Zn 0.503 0.499 0.996
Zn 0.001 0.500 0.996
Zn 0.719 0.780 0.780
Ag 0.652 0.353 0.353
Ag 0.338 0.659 0.659
Ag 0.999 0.348 0.653
Ag 0.999 0.653 0.348
Ag 0.282 0.220 0.220
Ag 0.503 0.788 0.204
Ag 0.503 0.204 0.788

Output
SG = No. 8

***

| no. | ΔE_f (eV/atom) |
| --- | --- |
| 1 | -0.08 |
| 2 | -0.13 |
| 3 | 0.12 |
| 4 | -0.20 |
| 5 | -0.32 |
| 6 | -0.31 |
| 7 | -0.36 |
| 8 | -0.17 |
| 9 | -0.26 |
| 10 | -0.29 |
| 11 | -0.16 |
| 12 | 0.32 |
| 13 | -0.19 |
| 14 | -0.06 |
| 15 | -0.30 |
| 16 | -0.23 |
| 17 | -0.22 |
| 18 | -0.13 |
| 19 | -0.16 |
| 20 | -0.29 |
| 21 | -0.14 |
| 22 | -0.16 |
| 23 | -0.15 |